This record from the Alexandria database describes Rb4NbO5 after structural relaxation. The functional is PBE-GGA.

Results
V, Å³/f.u.: 219.78
Uncorrected formation energy, eV per atom: -1.80
Calculated total energy, eV/cell: -56.73
Space group: I4

Unit cell a=6.0603 b=6.7415 c=6.7415 alpha=78.34 beta=63.29 gamma=63.29
Closest atoms and distances in Å follow each position.
Positions (direct):
1 Rb 0.4281 0.3924 0.8023  4 O 2.79-2.90
2 Rb 0.8205 0.8023 0.6076  4 O 2.79-2.90
3 Rb 0.2304 0.1977 0.3924  4 O 2.79-2.90
4 Rb 0.6228 0.6076 0.1977  4 O 2.79-2.90
5 Nb 0.0703 0.0000 0.0000  5 O 1.87-2.00
6 O 0.9208 0.2855 0.8526  1 Nb 2.00
7 O 0.2063 0.8526 0.7145  1 Nb 2.00
8 O 0.7733 0.1474 0.2855  1 Nb 2.00
9 O 0.0588 0.7145 0.1474  1 Nb 2.00
10 O 0.3789 0.0000 0.0000  1 Nb 1.87